## Cs2CoAgO4 (PBE+U)

Data for Cs2CoAgO4 after structural relaxation.

abc: 5.1846 12.6574 22.3046
angles: 90.00 90.00 90.00
Space group Fddd (No. 70, origin choice 2)
One atom of each set of equivalent atoms:
1 Cs 0.1250 0.1250 0.2983 (multiplicity 16)
2 Co 0.1250 0.1250 0.6250 (multiplicity 8)
3 Ag 0.1250 0.1250 0.1250 (multiplicity 8)
4 O 0.0455 0.2877 0.8273 (multiplicity 32)

**Volume**: 22.87 Å³ per atom
**Total DFT energy (no corrections)**: -285.63 eV per cell